# DyCdB4 PBE optimized geometry
# Total energy ... -5.453 eV/atom
# Excess energy over the best structure of this formula in the dataset ... 0.000 eV/f.u.
data_DyCdB4
_chemical_formula_sum 'Dy1 Cd1 B4'
_space_group_name_H-M_alt 'P 1'
_space_group_IT_number 1
_space_group_name_Hall 'P 1'
_cell_length_a 5.118
_cell_length_b 5.118
_cell_length_c 5.118
_cell_angle_alpha 143.64
_cell_angle_beta 116.25
_cell_angle_gamma 75.67
loop_
_atom_site_label
_atom_site_fract_x
_atom_site_fract_y
_atom_site_fract_z
_atom_site_occupancy
B1 0.564 0.240 0.324 1
B2 0.436 0.760 0.676 1
B3 0.916 0.240 0.676 1
B4 0.084 0.760 0.324 1
Dy1 0.500 0.500 0.000 1
Cd1 0.000 0.000 0.000 1